! AlTlCu3 meta-GGA SCAN PBEsol geometry; values from VASP
&SYSTEM
  ibrav = 0, nat = 5, ntyp = 3
/
ATOMIC_SPECIES
Al 26.98 Al.upf
Tl 204.38 Tl.upf
Cu 63.55 Cu.upf
CELL_PARAMETERS angstrom
4.791 0.000 0.000
0.000 4.791 0.000
0.000 0.000 4.791
ATOMIC_POSITIONS crystal
Al 0.000 0.000 0.000
Tl 0.500 0.500 0.500
Cu 0.000 0.500 0.500
Cu 0.500 0.000 0.500
Cu 0.500 0.500 0.000
! Total magnetization   0.0 μB per formula unit
! E_form   1.09 eV/atom



! Al2TlCu meta-GGA SCAN PBEsol geometry; values from VASP
&SYSTEM
  ibrav = 0, nat = 4, ntyp = 3
/
ATOMIC_SPECIES
Al 26.98 Al.upf
Tl 204.38 Tl.upf
Cu 63.55 Cu.upf
CELL_PARAMETERS angstrom
2.990 0.000 0.000
0.000 2.990 0.000
-1.440 0.000 7.972
ATOMIC_POSITIONS crystal
Al 0.000 0.000 0.000
Al 0.383 0.500 0.763
Tl 0.215 0.000 0.433
Cu 0.586 0.500 0.177
! Total magnetization   0.0 μB per formula unit
! E_form   0.12 eV/atom



! Al2TlCu meta-GGA SCAN PBEsol geometry; values from VASP
&SYSTEM
  ibrav = 0, nat = 4, ntyp = 3
/
ATOMIC_SPECIES
Al 26.98 Al.upf
Tl 204.38 Tl.upf
Cu 63.55 Cu.upf
CELL_PARAMETERS angstrom
3.721 0.000 0.000
0.000 4.278 0.000
-1.399 0.000 4.772
ATOMIC_POSITIONS crystal
Al 0.149 0.000 0.284
Al 0.851 0.000 0.716
Tl 0.500 0.500 0.000
Cu 0.000 0.500 0.500
! Total magnetization   0.0 μB per formula unit
! E_form   0.24 eV/atom



! AlTlCu3 meta-GGA SCAN PBEsol geometry; values from VASP
&SYSTEM
  ibrav = 0, nat = 5, ntyp = 3
/
ATOMIC_SPECIES
Al 26.98 Al.upf
Tl 204.38 Tl.upf
Cu 63.55 Cu.upf
CELL_PARAMETERS angstrom
4.535 0.000 0.000
0.000 4.535 0.000
0.000 0.000 4.535
ATOMIC_POSITIONS crystal
Al 0.000 0.000 0.000
Tl 0.500 0.500 0.500
Cu 0.000 0.000 0.500
Cu 0.000 0.500 0.000
Cu 0.500 0.000 0.000
! Total magnetization   0.0 μB per formula unit
! E_form   0.59 eV/atom



| no. | electronic total energy (eV/atom) |
| --- | --- |
| 1 | -24.05 |
| 2 | -25.65 |
| 3 | -25.53 |
| 4 | -24.55 |